# PuNbCrO6

A relaxed PuNbCrO6 crystal (PBE+U, Alexandria).

Summary:
- final energy (eV per atom) = -9.38
- M_tot (μB per cell) = 14.00
- DOS(E_F) (states/eV/f.u.) = 2.909

Lattice parameters (Å, degrees): 5.2017 5.2017 9.7367 90.00 90.00 120.00
Space group P-31c (No. 163)
Asymmetric unit:
Pu  0.0000  0.0000  0.0000 (multiplicity 2)
Nb  0.3333  0.6667  0.2500 (multiplicity 2)
Cr  0.3333  0.6667  0.7500 (multiplicity 2)
O  0.0005  0.3502  0.1368 (multiplicity 12)